Density functional theory data (SCAN) for ZnGeTe2S at its PBEsol-relaxed geometry.

a b c (Å): 4.8412 5.2709 5.2709
angles (deg): 90.00 90.00 90.00
Sites, in units of the cell vectors:
S  0.0000  0.0000  0.0000
Ge  0.5000  0.0000  0.0000
Te  0.0000  0.0000  0.5000
Te  0.0000  0.5000  0.0000
Zn  0.5000  0.5000  0.5000

Values from the calculation:
Its space group is P4/mmm (123). As for the crystal system: tetragonal. The uncorrected formation energy comes out at 0.677 eV/atom. Its raw total energy is -22.67 eV/atom.